Computed, not measured: an optimized crystal structure of DyFe2GeN at the PBE level of DFT.

Results
DOS(E_F) = 0.8209 states/eV/atom
Calculated total energy = -7.57 eV/atom

Cell: 5.627 5.627 6.869 Å, 90.00 90.00 141.55°
Fractional positions:
Dy (0.048, 0.952, 0.750)
Dy (0.952, 0.048, 0.250)
Fe (0.340, 0.660, 0.557)
Fe (0.340, 0.660, 0.943)
Fe (0.660, 0.340, 0.057)
Fe (0.660, 0.340, 0.443)
Ge (0.230, 0.770, 0.250)
Ge (0.770, 0.230, 0.750)
N (0.500, 0.500, 0.000)
N (0.500, 0.500, 0.500)


Computed, not measured: an optimized crystal structure of Er4MgZn2 at the PBE level of DFT.

Results
DOS(E_F) = 1.1737 states/eV/atom
DFT formation energy = -0.114 eV/atom

Cell: 8.468 8.468 8.468 Å, 34.65 34.65 34.65°
Fractional positions:
Er (0.111, 0.111, 0.111)
Er (0.366, 0.366, 0.366)
Er (0.634, 0.634, 0.634)
Er (0.889, 0.889, 0.889)
Mg (0.500, 0.500, 0.500)
Zn (0.240, 0.240, 0.240)
Zn (0.760, 0.760, 0.760)


Computed, not measured: an optimized crystal structure of Li2NdMg2Cd2 at the PBE level of DFT.

Results
DOS(E_F) = 0.5053 states/eV/atom
DFT formation energy = -0.204 eV/atom

Cell: 8.714 5.023 7.890 Å, 90.00 111.09 90.00°
Fractional positions:
Li (0.148, 0.000, 0.446)
Li (0.352, 0.500, 0.554)
Li (0.648, 0.500, 0.446)
Li (0.852, 0.000, 0.554)
Nd (0.000, 0.000, 0.000)
Nd (0.500, 0.500, 0.000)
Mg (0.077, 0.500, 0.726)
Mg (0.423, 0.000, 0.274)
Mg (0.577, 0.000, 0.726)
Mg (0.923, 0.500, 0.274)
Cd (0.228, 0.500, 0.189)
Cd (0.272, 0.000, 0.811)
Cd (0.728, 0.000, 0.189)
Cd (0.772, 0.500, 0.811)


Computed, not measured: an optimized crystal structure of Pm6HgTe3Rh2 at the PBE level of DFT.

Results
DOS(E_F) = 0.7227 states/eV/atom
Calculated total energy = -5.38 eV/atom

Cell: 9.861 9.861 9.103 Å, 106.07 106.07 24.76°
Fractional positions:
Pm (0.017, 0.017, 0.260)
Pm (0.322, 0.322, 0.434)
Pm (0.329, 0.329, 0.880)
Pm (0.671, 0.671, 0.120)
Pm (0.678, 0.678, 0.566)
Pm (0.983, 0.983, 0.740)
Hg (0.500, 0.500, 0.000)
Te (0.160, 0.160, 0.837)
Te (0.500, 0.500, 0.500)
Te (0.840, 0.840, 0.163)
Rh (0.169, 0.169, 0.337)
Rh (0.831, 0.831, 0.663)


Computed, not measured: an optimized crystal structure of La2Tb5ErTh at the PBE level of DFT.

Results
DOS(E_F) = 1.4928 states/eV/atom
DFT formation energy = 0.162 eV/atom

Cell: 10.299 10.299 10.939 Å, 90.00 90.00 148.18°
Fractional positions:
La (0.116, 0.884, 0.500)
La (0.116, 0.884, 0.918)
La (0.884, 0.116, 0.000)
La (0.884, 0.116, 0.418)
Tb (0.015, 0.985, 0.210)
Tb (0.281, 0.719, 0.496)
Tb (0.298, 0.702, 0.891)
Tb (0.389, 0.611, 0.204)
Tb (0.481, 0.519, 0.922)
Tb (0.519, 0.481, 0.422)
Tb (0.611, 0.389, 0.704)
Tb (0.702, 0.298, 0.391)
Tb (0.719, 0.281, 0.996)
Tb (0.985, 0.015, 0.710)
Er (0.201, 0.799, 0.192)
Er (0.799, 0.201, 0.692)
Th (0.416, 0.584, 0.645)
Th (0.584, 0.416, 0.145)


Computed, not measured: an optimized crystal structure of BaNaSc2Bi at the PBE level of DFT.

Results
DOS(E_F) = 0.8807 states/eV/atom
DFT formation energy = 0.632 eV/atom

Cell: 5.457 5.457 5.959 Å, 90.00 90.00 90.00°
Fractional positions:
Ba (0.000, 0.000, 0.000)
Na (0.000, 0.000, 0.500)
Sc (0.000, 0.500, 0.500)
Sc (0.500, 0.000, 0.500)
Bi (0.500, 0.500, 0.000)


Computed, not measured: an optimized crystal structure of ScNiPt3 at the PBE level of DFT.

Results
DOS(E_F) = 0.9377 states/eV/atom
DFT formation energy = -0.678 eV/atom

Cell: 7.057 7.057 5.567 Å, 92.36 92.36 34.04°
Fractional positions:
Sc (0.121, 0.121, 0.012)
Sc (0.879, 0.879, 0.988)
Ni (0.312, 0.312, 0.254)
Ni (0.688, 0.688, 0.746)
Pt (0.104, 0.104, 0.518)
Pt (0.296, 0.296, 0.719)
Pt (0.498, 0.498, 0.751)
Pt (0.502, 0.502, 0.249)
Pt (0.704, 0.704, 0.281)
Pt (0.896, 0.896, 0.482)


Computed, not measured: an optimized crystal structure of Nd12Y5In2 at the PBE level of DFT.

Results
DOS(E_F) = 1.5062 states/eV/atom
DFT formation energy = -0.018 eV/atom

Cell: 9.102 9.102 8.725 Å, 93.13 93.13 61.68°
Fractional positions:
Nd (0.056, 0.056, 0.326)
Nd (0.071, 0.679, 0.333)
Nd (0.167, 0.538, 0.764)
Nd (0.321, 0.929, 0.667)
Nd (0.418, 0.418, 0.113)
Nd (0.462, 0.833, 0.236)
Nd (0.538, 0.167, 0.764)
Nd (0.582, 0.582, 0.887)
Nd (0.679, 0.071, 0.333)
Nd (0.833, 0.462, 0.236)
Nd (0.929, 0.321, 0.667)
Nd (0.944, 0.944, 0.674)
Y (0.189, 0.189, 0.013)
Y (0.267, 0.267, 0.419)
Y (0.500, 0.500, 0.500)
Y (0.733, 0.733, 0.581)
Y (0.811, 0.811, 0.987)
In (0.173, 0.827, 0.000)
In (0.827, 0.173, 0.000)


Number 4 is which compound? Pm6HgTe3Rh2


What is the DOS(E_F) in the fifth record? 1.4928 states/eV/atom


What is the DOS(E_F) in the third record? 0.5053 states/eV/atom